# Sm3Sc2PaAs6 (PBE-GGA, optimized geometry)
data_Sm3Sc2PaAs6
_symmetry_space_group_name_H-M 'C 1 2/m 1'
_symmetry_Int_Tables_number 12
_cell_length_a 7.0584
_cell_length_b 12.2297
_cell_length_c 7.1082
_cell_angle_alpha 90.00
_cell_angle_beta 109.34
_cell_angle_gamma 90.00
loop_
_symmetry_equiv_pos_as_xyz
'x,y,z'
'-x,-y,-z'
'-x,y,-z'
'x,-y,z'
'x+1/2,y+1/2,z'
'-x+1/2,-y+1/2,-z'
'-x+1/2,y+1/2,-z'
'x+1/2,-y+1/2,z'
loop_
_atom_site_label
_atom_site_fract_x
_atom_site_fract_y
_atom_site_fract_z
Sm1 0.0000 0.0000 0.0000
Sm2 0.0000 0.3342 0.0000
Sc1 0.0000 0.1668 0.5000
Pa1 0.0000 0.5000 0.5000
As1 0.2395 0.0000 0.7307
As2 0.2463 0.3313 0.7331
# formation enthalpy at 0 K = -1395.5 meV/atom
# density of states at the Fermi level = 0.36 states/eV/atom
# crystal system = monoclinic
# mass density = 7.01 g/cm3
# M_tot = 0.0 Bohr magnetons per cell
# DFT total energy = -6.747 eV per atom